1.
# NbTc3Hg | the Alexandria database | GGA-PBE | optimized geometry
data_NbTc3Hg
_chemical_formula_sum 'Nb1 Tc3 Hg1'
_cell_length_a 4.7560
_cell_length_b 4.7560
_cell_length_c 4.7560
_cell_angle_alpha 90.00
_cell_angle_beta 90.00
_cell_angle_gamma 90.00
_symmetry_space_group_name_H-M 'P m -3 m'
_symmetry_Int_Tables_number 221
_symmetry_space_group_name_Hall '-P 4 2 3'
loop_
_atom_site_label
_atom_site_fract_x
_atom_site_fract_y
_atom_site_fract_z
_atom_site_occupancy
Nb1 0.0000 0.0000 0.0000 1
Tc1 0.0000 0.0000 0.5000 1
Hg1 0.5000 0.5000 0.5000 1
# crystal system = cubic
# polymorph energy (0 for the lowest one) = 0.000 eV/atom
# formation enthalpy at 0 K = 817 kJ/mol of formula units



2.
# Na2GeSb3Pd4 | the Alexandria database | GGA-PBE | optimized geometry
data_Na2GeSb3Pd4
_chemical_formula_sum 'Na2 Ge1 Sb3 Pd4'
_cell_length_a 4.5281
_cell_length_b 4.5281
_cell_length_c 10.8569
_cell_angle_alpha 90.00
_cell_angle_beta 90.00
_cell_angle_gamma 90.00
_symmetry_space_group_name_H-M 'P -4 m 2'
_symmetry_Int_Tables_number 115
_symmetry_space_group_name_Hall 'P -4 -2'
loop_
_atom_site_label
_atom_site_fract_x
_atom_site_fract_y
_atom_site_fract_z
_atom_site_occupancy
Na1 0.0000 0.5000 0.2455 1
Ge1 0.0000 0.0000 0.5000 1
Sb1 0.0000 0.5000 0.8695 1
Sb2 0.5000 0.5000 0.5000 1
Pd1 0.0000 0.0000 0.0000 1
Pd2 0.0000 0.5000 0.6266 1
Pd3 0.5000 0.5000 0.0000 1
# crystal system = tetragonal
# ΔE_f (raw) = -9.32 kcal/mol of atoms



3.
# NpHgBiAu | the Alexandria database | GGA-PBE | optimized geometry
data_NpHgBiAu
_chemical_formula_sum 'Np4 Hg4 Bi4 Au4'
_cell_length_a 7.3914
_cell_length_b 7.3914
_cell_length_c 7.3914
_cell_angle_alpha 90.00
_cell_angle_beta 90.00
_cell_angle_gamma 90.00
_symmetry_space_group_name_H-M 'F -4 3 m'
_symmetry_Int_Tables_number 216
_symmetry_space_group_name_Hall 'F -4 2 3'
loop_
_atom_site_label
_atom_site_fract_x
_atom_site_fract_y
_atom_site_fract_z
_atom_site_occupancy
Np1 0.0000 0.0000 0.0000 1
Hg1 0.2500 0.2500 0.7500 1
Bi1 0.0000 0.0000 0.5000 1
Au1 0.2500 0.2500 0.2500 1
# crystal system = cubic
# formation enthalpy at 0 K = 11 kJ/mol of formula units



4.
# Ho2CdGa4Pd3 | the Alexandria database | GGA-PBE | optimized geometry
data_Ho2CdGa4Pd3
_chemical_formula_sum 'Ho2 Cd1 Ga4 Pd3'
_cell_length_a 4.0775
_cell_length_b 4.0775
_cell_length_c 11.5534
_cell_angle_alpha 90.00
_cell_angle_beta 90.00
_cell_angle_gamma 90.00
_symmetry_space_group_name_H-M 'P -4 m 2'
_symmetry_Int_Tables_number 115
_symmetry_space_group_name_Hall 'P -4 -2'
loop_
_atom_site_label
_atom_site_fract_x
_atom_site_fract_y
_atom_site_fract_z
_atom_site_occupancy
Ho1 0.0000 0.5000 0.2386 1
Cd1 0.0000 0.0000 0.5000 1
Ga1 0.0000 0.0000 0.0000 1
Ga2 0.0000 0.5000 0.6483 1
Ga3 0.5000 0.5000 0.0000 1
Pd1 0.0000 0.5000 0.8619 1
Pd2 0.5000 0.5000 0.5000 1
# crystal system = tetragonal
# formation enthalpy at 0 K = -643 kJ/mol of formula units



5.
# MnAlSe2 | the Alexandria database | GGA-PBE | optimized geometry
data_MnAlSe2
_chemical_formula_sum 'Mn2 Al2 Se4'
_cell_length_a 3.5928
_cell_length_b 7.0234
_cell_length_c 7.3371
_cell_angle_alpha 90.00
_cell_angle_beta 90.00
_cell_angle_gamma 90.00
_symmetry_space_group_name_H-M 'I m m m'
_symmetry_Int_Tables_number 71
_symmetry_space_group_name_Hall '-I 2 2'
loop_
_atom_site_label
_atom_site_fract_x
_atom_site_fract_y
_atom_site_fract_z
_atom_site_occupancy
Mn1 0.0000 0.0000 0.0000 1
Al1 0.0000 0.0000 0.5000 1
Se1 0.0000 0.5000 0.2483 1
# crystal system = orthorhombic
# ΔE_f (raw) = -2.71 kcal/mol of atoms



6.
# Ca3TbSc3Te8 | the Alexandria database | GGA-PBE | optimized geometry
data_Ca3TbSc3Te8
_chemical_formula_sum 'Ca9 Tb3 Sc9 Te24'
_cell_length_a 8.5398
_cell_length_b 8.5398
_cell_length_c 21.6872
_cell_angle_alpha 90.00
_cell_angle_beta 90.00
_cell_angle_gamma 120.00
_symmetry_space_group_name_H-M 'R -3 m'
_symmetry_Int_Tables_number 166
_symmetry_space_group_name_Hall '-R 3 2"'
loop_
_atom_site_label
_atom_site_fract_x
_atom_site_fract_y
_atom_site_fract_z
_atom_site_occupancy
Ca1 0.0000 0.5000 0.0000 1
Tb1 0.0000 0.0000 0.5000 1
Sc1 0.0000 0.5000 0.5000 1
Te1 0.0000 0.0000 0.2437 1
Te2 0.0152 0.5076 0.7534 1
# crystal system = trigonal
# ΔE_f (raw) = -32.11 kcal/mol of atoms



7.
# Pr2Ag3Pd | the Alexandria database | GGA-PBE | optimized geometry
data_Pr2Ag3Pd
_chemical_formula_sum 'Pr2 Ag3 Pd1'
_cell_length_a 3.6948
_cell_length_b 4.8117
_cell_length_c 8.1117
_cell_angle_alpha 90.00
_cell_angle_beta 90.00
_cell_angle_gamma 90.00
_symmetry_space_group_name_H-M 'P m m 2'
_symmetry_Int_Tables_number 25
_symmetry_space_group_name_Hall 'P 2 -2'
loop_
_atom_site_label
_atom_site_fract_x
_atom_site_fract_y
_atom_site_fract_z
_atom_site_occupancy
Pr1 0.0000 0.0000 0.0000 1
Pr2 0.0000 0.5000 0.4630 1
Ag1 0.5000 0.0000 0.6459 1
Ag2 0.5000 0.5000 0.1442 1
Ag3 0.5000 0.5000 0.8072 1
Pd1 0.5000 0.0000 0.3083 1
# crystal system = orthorhombic
# formation enthalpy at 0 K = -218 kJ/mol of formula units



8.
# ScHRu2Au | the Alexandria database | GGA-PBE | optimized geometry
data_ScHRu2Au
_chemical_formula_sum 'Sc1 H1 Ru2 Au1'
_cell_length_a 3.9790
_cell_length_b 3.9790
_cell_length_c 4.1460
_cell_angle_alpha 90.00
_cell_angle_beta 90.00
_cell_angle_gamma 90.00
_symmetry_space_group_name_H-M 'P 4/m m m'
_symmetry_Int_Tables_number 123
_symmetry_space_group_name_Hall '-P 4 2'
loop_
_atom_site_label
_atom_site_fract_x
_atom_site_fract_y
_atom_site_fract_z
_atom_site_occupancy
Sc1 0.0000 0.0000 0.0000 1
H1 0.0000 0.0000 0.5000 1
Ru1 0.0000 0.5000 0.5000 1
Au1 0.5000 0.5000 0.0000 1
# crystal system = tetragonal



9.
# Tl12Sb6Pb | the Alexandria database | GGA-PBE | optimized geometry
data_Tl12Sb6Pb
_chemical_formula_sum 'Tl24 Sb12 Pb2'
_cell_length_a 10.7422
_cell_length_b 10.7422
_cell_length_c 10.7422
_cell_angle_alpha 90.00
_cell_angle_beta 90.00
_cell_angle_gamma 90.00
_symmetry_space_group_name_H-M 'I m -3'
_symmetry_Int_Tables_number 204
_symmetry_space_group_name_Hall '-I 2 2 3'
loop_
_atom_site_label
_atom_site_fract_x
_atom_site_fract_y
_atom_site_fract_z
_atom_site_occupancy
Tl1 0.0000 0.1918 0.2675 1
Sb1 0.0000 0.3669 0.5000 1
Pb1 0.0000 0.0000 0.0000 1
# crystal system = cubic
# polymorph energy (0 for the lowest one) = 0.000 eV/atom
# ΔE_f (raw) = 0.73 kcal/mol of atoms



10.
# La3TlRu | the Alexandria database | GGA-PBE | optimized geometry
data_La3TlRu
_chemical_formula_sum 'La12 Tl4 Ru4'
_cell_length_a 15.4440
_cell_length_b 4.6334
_cell_length_c 8.7856
_cell_angle_alpha 90.00
_cell_angle_beta 91.12
_cell_angle_gamma 90.00
_symmetry_space_group_name_H-M 'C 1 2/m 1'
_symmetry_Int_Tables_number 12
_symmetry_space_group_name_Hall '-C 2y'
loop_
_atom_site_label
_atom_site_fract_x
_atom_site_fract_y
_atom_site_fract_z
_atom_site_occupancy
La1 0.0541 0.0000 0.2007 1
La2 0.1243 0.5000 0.5457 1
La3 0.2427 0.0000 0.7946 1
Tl1 0.0976 0.5000 0.9282 1
Ru1 0.1917 0.0000 0.3970 1
# crystal system = monoclinic
# polymorph energy (0 for the lowest one) = 0.075 eV/atom
# formation enthalpy at 0 K = -152 kJ/mol of formula units



11.
# YTcAu4 | the Alexandria database | GGA-PBE | optimized geometry
data_YTcAu4
_chemical_formula_sum 'Y4 Tc4 Au16'
_cell_length_a 7.8000
_cell_length_b 7.8000
_cell_length_c 7.8000
_cell_angle_alpha 90.00
_cell_angle_beta 90.00
_cell_angle_gamma 90.00
_symmetry_space_group_name_H-M 'F -4 3 m'
_symmetry_Int_Tables_number 216
_symmetry_space_group_name_Hall 'F -4 2 3'
loop_
_atom_site_label
_atom_site_fract_x
_atom_site_fract_y
_atom_site_fract_z
_atom_site_occupancy
Y1 0.0000 0.0000 0.0000 1
Tc1 0.2500 0.2500 0.2500 1
Au1 0.1246 0.1246 0.6246 1
# crystal system = cubic
# formation enthalpy at 0 K = 18 kJ/mol of formula units



| no. | DFT total energy (eV per atom) | total magnetization (Bohr magnetons per cell) |
| --- | --- | --- |
| 1 | -6.601 | 2.8 |
| 2 | -4.444 | 0.0 |
| 3 | -5.071 | 17.0 |
| 4 | -4.443 | 0.0 |
| 5 | -5.088 | 8.8 |
| 6 | -5.043 | 0.0 |
| 7 | -4.261 | 0.0 |
| 8 | -6.549 | 0.0 |
| 9 | -2.960 | 0.0 |
| 10 | -5.599 | 0.0 |
| 11 | -4.958 | 10.4 |